NaW3F after structural relaxation. Source: Alexandria, functional PBE+U.

a b c (Å): 4.3816 4.3816 4.3816
angles (deg): 90.00 90.00 90.00
Element x y z (fractional)
1 W 0.0000 0.0000 0.5000
2 W 0.0000 0.5000 0.0000
3 Na 0.5000 0.5000 0.5000
4 W 0.5000 0.0000 0.0000
5 F 0.0000 0.0000 0.0000

**ρ**: 11.7 g cm⁻³
**Energy**: -16.4 eV per formula unit
**Density of states at the Fermi level**: 2.92 states/eV per cell
**Volume**: 16.82 Å³/atom
**Space-group type**: Pm-3m (221)